{
  "formula": "PrB3Rh6",
  "functional": "PBE",
  "state": "optimized geometry",
  "lattice_angstrom": [[4.734, -0.042, -2.915], [-3.088, 4.499, 0.027], [-0.010, 0.006, 6.528]],
  "species": ["Rh", "Rh", "Rh", "Rh", "Rh", "Rh", "B", "B", "B", "Pr"],
  "fractional_positions": [[0.714, 0.608, 0.230], [0.293, 0.406, 0.707], [0.680, 0.344, 0.593], [0.295, 0.891, 0.708], [0.237, 0.611, 0.268], [0.707, 0.102, 0.230], [0.279, 0.639, 0.970], [0.130, 0.069, 0.413], [0.699, 0.349, 0.968], [0.965, 0.983, 0.914]],
  "sg": "P1 (1)",
  "formation_enthalpy_0k_ev_per_atom": -0.451
}